Crystalline NdYMgZn at its relaxed geometry. Source: Alexandria via LeMat-Bulk, functional PBE.

Summary:
Formation energy from the elements   -0.22 eV per atom
Polymorph energy (0 for the lowest one)   0.000 eV per atom
E   -3.743 eV per atom
Spin magnetization   0.0000 μB per atom
Crystal system   tetragonal
Calculated volume   26.2 A^3/atom

Structure (CIF):
```
data_NdYMgZn
_cell_length_a 3.6560
_cell_length_b 3.6560
_cell_length_c 7.8497
_cell_angle_alpha 90.00
_cell_angle_beta 90.00
_cell_angle_gamma 90.00
_symmetry_space_group_name_H-M 'P 4 m m'
_symmetry_Int_Tables_number 99
loop_
_symmetry_equiv_pos_as_xyz
'x,y,z'
'-y,x,z'
'-x,-y,z'
'y,-x,z'
'-x,y,z'
'y,x,z'
'x,-y,z'
'-y,-x,z'
loop_
_atom_site_label
_atom_site_fract_x
_atom_site_fract_y
_atom_site_fract_z
Nd1 0.0000 0.0000 0.0000
Y1 0.0000 0.0000 0.4498
Mg1 0.5000 0.5000 0.7154
Zn1 0.5000 0.5000 0.2406
```